CsTePt | PBE | relaxed

Values from the calculation:
The value obtained for the total energy is -9.40 eV for the cell shown. As for the volume: 33.3 A^3/atom. The total magnetization is 0.29 μB/atom.

Cell and atoms, written as extended XYZ:
```
3
Lattice="-0.603 -2.860 4.309 -4.780 -1.188 1.688 -1.742 -4.895 -0.347" Properties=species:S:1:pos:R:3 pbc="T T T"
Cs -1.782 -2.236 1.413
Pt 0.000 0.000 0.000
Te -5.345 -6.707 4.238
```

=====

CsTmTe3Pt | PBE | relaxed

Values from the calculation:
The value obtained for the total energy is -52.83 eV for the cell shown. As for the volume: 34.6 A^3/atom. The total magnetization is 0.00 μB/atom.

Cell and atoms, written as extended XYZ:
```
12
Lattice="2.128 -9.303 0.000 2.128 9.303 0.000 0.000 0.000 10.484" Properties=species:S:1:pos:R:3 pbc="T T T"
Cs 2.128 -4.675 2.621
Cs 2.128 4.675 7.863
Pt 2.128 0.156 2.621
Pt 2.128 -0.156 7.863
Te 2.128 2.059 0.767
Te 2.128 7.791 2.621
Te 2.128 2.059 4.475
Te 2.128 -2.059 6.009
Te 2.128 -7.791 7.863
Te 2.128 -2.059 9.717
Tm 0.000 0.000 0.000
Tm 0.000 0.000 5.242
```

=====

CsZrTe3Pt | PBE | relaxed

Values from the calculation:
The value obtained for the total energy is -59.70 eV for the cell shown. As for the volume: 33.5 A^3/atom. The total magnetization is 0.00 μB/atom.

Cell and atoms, written as extended XYZ:
```
12
Lattice="9.940 0.000 0.000 0.000 4.107 0.000 -4.907 0.000 9.853" Properties=species:S:1:pos:R:3 pbc="T T T"
Cs 3.783 1.027 2.616
Cs 1.250 3.080 7.237
Pt 7.826 3.080 3.755
Pt -2.793 1.027 6.098
Te 0.909 3.080 1.319
Te 6.672 3.080 1.328
Te -0.545 1.027 4.500
Te 5.579 3.080 5.353
Te -1.639 1.027 8.525
Te 4.124 1.027 8.534
Zr 8.715 1.027 1.690
Zr -3.682 3.080 8.163
```

=====

CsTl3Pt | PBE | relaxed

Values from the calculation:
As for the volume: 33.9 A^3/atom. The total magnetization is 0.00 μB/atom. The calculation puts the energy relative to the lowest polymorph listed for this composition at 97 meV per atom.

Cell and atoms, written as extended XYZ:
```
5
Lattice="5.532 0.000 0.000 0.000 5.532 0.000 0.000 0.000 5.532" Properties=species:S:1:pos:R:3 pbc="T T T"
Cs 2.766 2.766 2.766
Pt 0.000 0.000 0.000
Tl 2.766 0.000 0.000
Tl 0.000 2.766 0.000
Tl 0.000 0.000 2.766
```

=====

CsTl3Pt | PBE | relaxed

Values from the calculation:
As for the volume: 34.6 A^3/atom. The total magnetization is 0.00 μB/atom. The calculation puts the energy relative to the lowest polymorph listed for this composition at 0 meV per atom.

Cell and atoms, written as extended XYZ:
```
10
Lattice="-0.499 -0.148 -9.015 -3.034 -3.049 0.218 -6.078 6.355 4.313" Properties=species:S:1:pos:R:3 pbc="T T T"
Cs -1.317 -0.366 -2.170
Cs -8.293 3.523 -2.314
Pt -5.731 0.729 -5.747
Pt -3.879 2.429 1.263
Tl -2.838 0.895 -5.691
Tl -4.239 -0.314 0.427
Tl -5.121 0.312 -3.078
Tl -4.490 2.846 -1.405
Tl -5.371 3.472 -4.911
Tl -6.773 2.262 1.207
```

=====

CsTlPt | PBE | relaxed

Values from the calculation:
As for the volume: 35.1 A^3/atom. The total magnetization is 0.00 μB/atom. The calculation puts the energy relative to the lowest polymorph listed for this composition at 0 meV per atom.

Cell and atoms, written as extended XYZ:
```
3
Lattice="0.000 3.748 3.748 3.748 0.000 3.748 3.748 3.748 0.000" Properties=species:S:1:pos:R:3 pbc="T T T"
Cs 1.874 1.874 1.874
Pt 0.000 0.000 0.000
Tl 5.622 5.622 5.622
```

=====

CsTlPt | PBE | relaxed

Values from the calculation:
As for the volume: 36.5 A^3/atom. The total magnetization is 0.00 μB/atom. The calculation puts the energy relative to the lowest polymorph listed for this composition at 217 meV per atom.

Cell and atoms, written as extended XYZ:
```
3
Lattice="-4.829 -0.099 2.353 -4.251 2.129 -2.501 -3.862 -3.198 -1.928" Properties=species:S:1:pos:R:3 pbc="T T T"
Cs -3.235 -0.292 -0.519
Pt -9.706 -0.876 -1.558
Tl 0.000 0.000 0.000
```

=====

CsTl2Pt2 | PBE | relaxed

Values from the calculation:
The value obtained for the total energy is -18.09 eV for the cell shown. As for the volume: 27.3 A^3/atom. The total magnetization is 0.00 μB/atom.

Cell and atoms, written as extended XYZ:
```
5
Lattice="3.450 -3.450 0.000 3.450 3.450 0.000 -3.450 0.000 5.734" Properties=species:S:1:pos:R:3 pbc="T T T"
Cs 0.000 0.000 0.000
Pt 3.450 0.000 1.324
Pt 0.000 0.000 4.410
Tl 1.725 -1.725 2.867
Tl 1.725 1.725 2.867
```

=====

CsTlPt | PBE | relaxed

Values from the calculation:
As for the volume: 39.1 A^3/atom. The total magnetization is 0.00 μB/atom. The calculation puts the energy relative to the lowest polymorph listed for this composition at 523 meV per atom.

Cell and atoms, written as extended XYZ:
```
3
Lattice="-2.753 -3.404 3.324 -1.632 1.723 4.958 -5.339 0.850 0.995" Properties=species:S:1:pos:R:3 pbc="T T T"
Cs 0.000 0.000 0.000
Pt -2.431 -0.208 2.319
Tl -7.292 -0.623 6.958
```

=====

CsTmPt | PBE | relaxed

Values from the calculation:
As for the volume: 32.5 A^3/atom. The total magnetization is 0.00 μB/atom. The calculation puts the energy relative to the lowest polymorph listed for this composition at 0 meV per atom.

Cell and atoms, written as extended XYZ:
```
3
Lattice="0.000 3.654 3.654 3.654 0.000 3.654 3.654 3.654 0.000" Properties=species:S:1:pos:R:3 pbc="T T T"
Cs 3.654 3.654 3.654
Pt 1.827 1.827 1.827
Tm 0.000 0.000 0.000
```

=====

CsUPt | PBE | relaxed

Values from the calculation:
As for the volume: 28.7 A^3/atom. The total magnetization is 1.15 μB/atom. The calculation puts the energy relative to the lowest polymorph listed for this composition at 566 meV per atom.

Cell and atoms, written as extended XYZ:
```
3
Lattice="0.000 3.506 3.506 3.506 0.000 3.506 3.506 3.506 0.000" Properties=species:S:1:pos:R:3 pbc="T T T"
Cs 0.000 0.000 0.000
Pt 1.753 1.753 1.753
U 5.259 5.259 5.259
```

=====

CsUPt | PBE | relaxed

Values from the calculation:
As for the volume: 32.7 A^3/atom. The total magnetization is 1.17 μB/atom. The calculation puts the energy relative to the lowest polymorph listed for this composition at 0 meV per atom.

Cell and atoms, written as extended XYZ:
```
3
Lattice="0.000 3.659 3.659 3.659 0.000 3.659 3.659 3.659 0.000" Properties=species:S:1:pos:R:3 pbc="T T T"
Cs 1.830 1.830 1.830
Pt 0.000 0.000 0.000
U 5.489 5.489 5.489
```

=====

CsPtW | PBE | relaxed

Values from the calculation:
As for the volume: 28.6 A^3/atom. The total magnetization is 1.38 μB/atom. The calculation puts the energy relative to the lowest polymorph listed for this composition at 0 meV per atom.

Cell and atoms, written as extended XYZ:
```
3
Lattice="-1.429 1.955 4.319 -4.149 2.692 0.247 -3.981 -1.796 2.334" Properties=species:S:1:pos:R:3 pbc="T T T"
Cs -2.390 0.713 1.725
Pt 0.000 0.000 0.000
W -7.169 2.138 5.175
```

=====

CsPtW | PBE | relaxed

Values from the calculation:
As for the volume: 23.6 A^3/atom. The total magnetization is 0.22 μB/atom. The calculation puts the energy relative to the lowest polymorph listed for this composition at 788 meV per atom.

Cell and atoms, written as extended XYZ:
```
3
Lattice="0.000 3.284 3.284 3.284 0.000 3.284 3.284 3.284 0.000" Properties=species:S:1:pos:R:3 pbc="T T T"
Cs 0.000 0.000 0.000
Pt 1.642 1.642 1.642
W 4.927 4.927 4.927
```

=====

Cs2PuS3 | PBE | relaxed

Values from the calculation:
The value obtained for the total energy is -70.86 eV for the cell shown. As for the volume: 40.3 A^3/atom. The total magnetization is 0.67 μB/atom.

Cell and atoms, written as extended XYZ:
```
12
Lattice="-5.716 -4.093 -2.216 2.224 -7.778 -2.429 -2.661 -5.537 6.728" Properties=species:S:1:pos:R:3 pbc="T T T"
Cs -0.364 -2.769 0.317
Cs -1.567 -7.332 -0.050
Cs -4.585 -10.076 2.134
Cs -5.788 -14.639 1.767
Pu -2.446 -11.582 -1.669
Pu -3.706 -5.826 3.753
S -3.355 -4.339 -1.319
S -4.132 -9.713 -1.458
S -0.812 -11.285 0.323
S -5.341 -6.122 1.761
S -2.020 -7.695 3.542
S -2.797 -13.068 3.403
```

=====

Cs2PuS3 | PBE | relaxed

Values from the calculation:
The value obtained for the total energy is -70.86 eV for the cell shown. As for the volume: 40.6 A^3/atom. The total magnetization is 0.67 μB/atom.

Cell and atoms, written as extended XYZ:
```
12
Lattice="-1.160 7.575 4.020 -3.980 7.166 -2.772 -5.122 -9.058 2.672" Properties=species:S:1:pos:R:3 pbc="T T T"
Cs -5.568 12.365 1.568
Cs -5.040 7.241 1.658
Cs -5.222 -1.559 2.262
Cs -4.694 -6.683 2.351
Pu -3.395 2.693 1.248
Pu -6.867 2.989 2.672
S -2.313 4.893 0.666
S -2.439 0.367 0.991
S -4.445 2.941 3.612
S -5.817 2.742 0.308
S -7.823 5.316 2.929
S -7.949 0.790 3.254
```

=====

Cs2PuSeS2 | PBE | relaxed

Values from the calculation:
As for the volume: 41.7 A^3/atom. The total magnetization is 0.67 μB/atom. The calculation puts the energy relative to the lowest polymorph listed for this composition at 0 meV per atom.

Cell and atoms, written as extended XYZ:
```
12
Lattice="-7.509 -0.892 -4.292 -5.262 -6.902 -0.522 1.297 6.123 8.988" Properties=species:S:1:pos:R:3 pbc="T T T"
Cs -3.726 -1.300 0.148
Cs -0.412 1.633 2.850
Cs -11.061 -3.304 1.325
Cs -7.748 -0.371 4.026
Pu -7.847 -3.722 -1.257
Pu -3.626 2.051 5.431
S -6.929 -2.443 -3.319
S -5.842 -5.351 -1.495
S -9.967 -4.910 -1.888
S -1.507 3.239 6.062
Se -7.375 -2.198 0.892
Se -4.098 0.527 3.283
```

=====

Cs2PuSeS2 | PBE | relaxed

Values from the calculation:
As for the volume: 42.2 A^3/atom. The total magnetization is 0.67 μB/atom. The calculation puts the energy relative to the lowest polymorph listed for this composition at 4 meV per atom.

Cell and atoms, written as extended XYZ:
```
12
Lattice="-0.595 -0.008 7.456 -3.497 -7.199 3.075 6.943 -4.886 3.643" Properties=species:S:1:pos:R:3 pbc="T T T"
Cs 0.291 -2.132 1.765
Cs -0.069 -5.370 5.376
Cs 2.921 -6.723 8.797
Cs 2.561 -9.962 12.408
Pu -1.530 -8.249 8.804
Pu 4.382 -3.844 5.369
S -0.446 -1.676 5.465
S -0.142 -9.247 6.852
S 2.993 -2.846 7.321
S 3.297 -10.417 8.708
Se -0.707 -5.722 9.119
Se 3.559 -6.372 5.053
```

=====

Cs4PuSiS6 | PBE | relaxed

Values from the calculation:
The value obtained for the total energy is -61.86 eV for the cell shown. As for the volume: 37.9 A^3/atom. The total magnetization is 0.33 μB/atom.

Cell and atoms, written as extended XYZ:
```
12
Lattice="-4.102 -3.741 4.743 2.118 -7.727 0.960 4.124 -0.575 8.243" Properties=species:S:1:pos:R:3 pbc="T T T"
Cs 0.514 -1.954 1.621
Cs 1.047 -5.653 4.669
Cs 1.011 -6.238 9.320
Cs 1.415 -10.069 12.187
Pu 0.795 -9.821 6.584
S -1.797 -3.767 3.819
S -0.988 -8.045 6.756
S 3.225 -8.901 6.460
S -0.515 -3.277 7.800
S 2.863 -3.751 7.143
S 3.852 -8.537 9.882
Si 1.423 -2.243 7.436
```

=====

CsPuTlS3 | PBE | relaxed

Values from the calculation:
The value obtained for the total energy is -72.75 eV for the cell shown. As for the volume: 34.1 A^3/atom. The total magnetization is 0.67 μB/atom.

Cell and atoms, written as extended XYZ:
```
12
Lattice="6.617 3.817 -4.616 -7.531 -4.732 0.744 -6.186 9.715 -0.835" Properties=species:S:1:pos:R:3 pbc="T T T"
Cs 2.464 4.671 -3.838
Cs -9.565 4.129 -0.870
Pu -0.457 -0.458 -1.936
Pu -3.550 4.400 -2.354
S 5.211 3.011 -4.094
S -1.982 1.984 -2.153
S 2.157 7.805 -4.506
S -9.258 0.994 -0.202
S -5.118 6.815 -2.554
S -12.311 5.789 -0.614
Tl -7.402 -1.291 -0.100
Tl 0.302 10.091 -4.608
```

=====

Cs2PuSe3 | PBE | relaxed

Values from the calculation:
The value obtained for the total energy is -66.21 eV for the cell shown. As for the volume: 45.2 A^3/atom. The total magnetization is 0.67 μB/atom.

Cell and atoms, written as extended XYZ:
```
12
Lattice="-5.019 4.795 3.208 -7.614 -3.762 2.009 0.081 -1.076 9.488" Properties=species:S:1:pos:R:3 pbc="T T T"
Cs -1.974 -0.526 1.990
Cs -5.851 -0.731 5.109
Cs -6.702 0.689 9.596
Cs -10.578 0.483 12.714
Pu -10.325 -0.754 6.849
Pu -2.227 0.711 7.855
Se -4.505 2.222 3.041
Se -8.809 1.415 6.528
Se -8.598 -2.800 7.420
Se -3.954 2.758 7.285
Se -3.744 -1.457 8.177
Se -8.047 -2.264 11.664
```

=====

Cs2PuTeSe2 | PBE | relaxed

Values from the calculation:
The value obtained for the total energy is -64.54 eV for the cell shown. As for the volume: 47.9 A^3/atom. The total magnetization is 0.67 μB/atom.

Cell and atoms, written as extended XYZ:
```
12
Lattice="8.198 -3.873 0.000 8.198 3.873 0.000 -7.161 0.000 9.060" Properties=species:S:1:pos:R:3 pbc="T T T"
Cs 14.208 0.000 1.274
Cs 9.078 0.000 2.978
Cs 0.157 0.000 6.082
Cs -4.972 0.000 7.786
Pu 3.853 0.000 2.767
Pu 5.382 0.000 6.293
Se 1.199 0.000 2.519
Se 4.618 -1.960 4.530
Se 4.618 1.960 4.530
Se 8.036 0.000 6.541
Te 5.776 0.000 0.565
Te 3.460 0.000 8.495
```

=====

CsSmPu | PBE | relaxed

Values from the calculation:
As for the volume: 50.0 A^3/atom. The total magnetization is 2.95 μB/atom. The calculation puts the energy relative to the lowest polymorph listed for this composition at 0 meV per atom.

Cell and atoms, written as extended XYZ:
```
3
Lattice="0.000 4.218 4.218 4.218 0.000 4.218 4.218 4.218 0.000" Properties=species:S:1:pos:R:3 pbc="T T T"
Cs 0.000 0.000 0.000
Pu 2.109 2.109 2.109
Sm 4.218 4.218 4.218
```

=====

CsPuTh | PBE | relaxed

Values from the calculation:
As for the volume: 57.4 A^3/atom. The total magnetization is 2.41 μB/atom. The calculation puts the energy relative to the lowest polymorph listed for this composition at 380 meV per atom.

Cell and atoms, written as extended XYZ:
```
3
Lattice="0.000 4.417 4.417 4.417 0.000 4.417 4.417 4.417 0.000" Properties=species:S:1:pos:R:3 pbc="T T T"
Cs 0.000 0.000 0.000
Pu 2.208 2.208 2.208
Th 6.625 6.625 6.625
```

=====

CsPuTh | PBE | relaxed

Values from the calculation:
As for the volume: 43.6 A^3/atom. The total magnetization is 2.91 μB/atom. The calculation puts the energy relative to the lowest polymorph listed for this composition at 0 meV per atom.

Cell and atoms, written as extended XYZ:
```
3
Lattice="-0.703 -5.219 2.179 -4.277 -3.297 -1.822 1.102 -4.592 -3.190" Properties=species:S:1:pos:R:3 pbc="T T T"
Cs -1.939 -6.554 -1.417
Pu -0.969 -3.277 -0.708
Th 0.000 0.000 0.000
```

=====

CsPuTl | PBE | relaxed

Values from the calculation:
As for the volume: 56.1 A^3/atom. The total magnetization is 2.40 μB/atom. The calculation puts the energy relative to the lowest polymorph listed for this composition at 0 meV per atom.

Cell and atoms, written as extended XYZ:
```
3
Lattice="-3.880 -4.795 0.593 -4.161 -0.070 4.591 -6.024 0.713 -1.267" Properties=species:S:1:pos:R:3 pbc="T T T"
Cs -3.516 -1.038 0.979
Pu 0.000 0.000 0.000
Tl -10.548 -3.114 2.938
```